DFT (PBE-GGA) results for a relaxed structure of CdGaHg.

For the formation enthalpy at 0 K, the calculation gives 0.12 eV/f.u. Its space-group type is P1. As for the calculated total energy: -4.1 eV/f.u. The value obtained for the energy above the most stable polymorph in this dataset is 0 meV per atom.

Lattice parameters (Å, degrees): 3.0977 3.1128 16.2320 93.93 89.96 119.85
Fractional positions:
Cd (0.4288, 0.4416, 0.3439)
Cd (0.8093, 0.1967, 0.5101)
Hg (0.9999, 0.5934, 0.1727)
Hg (0.2281, 0.0420, 0.6811)
Ga (0.2653, 0.1101, 0.8561)
Ga (0.9739, 0.5356, 0.9978)

DFT (PBE-GGA) results for a relaxed structure of Cd2GaHg2.

For the formation enthalpy at 0 K, the calculation gives 0.87 eV/f.u. Its space-group type is I4/mmm. As for the calculated total energy: -4.6 eV/f.u. The value obtained for the energy above the most stable polymorph in this dataset is 73 meV per atom.

Lattice parameters (Å, degrees): 5.8061 5.8061 5.8266 119.88 119.88 90.00
Fractional positions:
Hg (0.2500, 0.7500, 0.5000)
Hg (0.7500, 0.2500, 0.5000)
Ga (0.0000, 0.0000, 0.0000)
Cd (0.6662, 0.6662, 0.3323)
Cd (0.3338, 0.3338, 0.6677)

DFT (PBE-GGA) results for a relaxed structure of Cd2GaHg2.

For the formation enthalpy at 0 K, the calculation gives 0.64 eV/f.u. Its space-group type is I4/mmm. As for the calculated total energy: -4.8 eV/f.u. The value obtained for the energy above the most stable polymorph in this dataset is 26 meV per atom.

Lattice parameters (Å, degrees): 4.2554 4.2554 7.7121 73.98 73.98 90.00
Fractional positions:
Hg (0.4005, 0.4005, 0.1990)
Hg (0.5995, 0.5995, 0.8010)
Cd (0.2500, 0.7500, 0.5000)
Cd (0.7500, 0.2500, 0.5000)
Ga (0.0000, 0.0000, 0.0000)

Q: Which of these has the lowest formation enthalpy at 0 K?
A: CdGaHg

Q: Look up the energy above the most stable polymorph in this dataset of the first one.
A: 0 meV per atom

Q: Number 1 is which compound?
A: CdGaHg